AcZnSnHg: optimized geometry, GGA-PBE.

Calculated values
Formation energy from the elements in eV/atom: -0.329
DOS(E_F) in states/eV/f.u.: 3.8
ρ in g cm⁻³: 9.4
SG: F-43m
Electronic total energy in eV per atom: -2.75

a b c (Å): 5.339 5.339 5.339
angles (deg): 60.00 60.00 60.00
Fractional positions:
Ac: 0.750 0.750 0.750
Hg: 0.000 0.000 0.000
Zn: 0.500 0.500 0.500
Sn: 0.250 0.250 0.250